Record 1
Density functional theory data (PBE) for a relaxed structure of Zr2SnPd.

a = 4.1925 Å, b = 4.1925 Å, c = 6.0862 Å
α = 90.00°, β = 90.00°, γ = 120.00°
Closest atoms and distances in Å follow each position.
Space group P-3m1 (No. 164)
Asymmetric unit:
Zr 0.3333 0.6667 0.2260 (multiplicity 2)  3 Pd 2.78, 3 Sn 2.94
Sn 0.0000 0.0000 0.5000 (multiplicity 1)  6 Zr 2.94, 2 Pd 3.04
Pd 0.0000 0.0000 0.0000 (multiplicity 1)  6 Zr 2.78, 2 Sn 3.04

Calculated values
For the density of states at the Fermi level, the calculation gives 2.8 states/eV/f.u. Its formation energy is -1.2 eV/f.u. The total magnetization is 0.0 μB/f.u. Its energy is -6.8772 eV per atom.

Record 2
Density functional theory data (PBE) for a relaxed structure of CuPCl4.

a = 5.7440 Å, b = 5.7440 Å, c = 10.7248 Å
α = 90.00°, β = 90.00°, γ = 90.00°
Closest atoms and distances in Å follow each position.
Space group P-42c (No. 112)
Asymmetric unit:
Cu 0.0000 0.0000 0.0000 (multiplicity 2)  4 Cl 2.31
P 0.0000 0.5000 0.2500 (multiplicity 2)  4 Cl 2.32
Cl 0.2129 0.2574 0.1196 (multiplicity 8)  1 Cu 2.31, 1 P 2.32

Calculated values
The total magnetization is 0.0 μB/f.u. Its energy is -3.1815 eV per atom. The excess energy over the best structure of this formula in the dataset is 0 meV per atom.

Record 3
Density functional theory data (PBE) for a relaxed structure of Ca2DyHg5.

a = 5.2826 Å, b = 5.2826 Å, c = 14.6027 Å
α = 90.00°, β = 90.00°, γ = 90.00°
Closest atoms and distances in Å follow each position.
Space group I4/mmm (No. 139)
Asymmetric unit:
Ca 0.0000 0.0000 0.2400 (multiplicity 4)  9 Hg 3.15-3.50
Dy 0.0000 0.0000 0.5000 (multiplicity 2)  8 Hg 3.19
Hg 0.0000 0.0000 0.0000 (multiplicity 2)  8 Hg 3.19, 2 Ca 3.50
Hg 0.0000 0.5000 0.1221 (multiplicity 8)  4 Ca 3.15-3.32, 2 Hg 3.19, 2 Dy 3.19

Calculated values
For the density of states at the Fermi level, the calculation gives 4.1 states/eV/f.u. Its formation energy is -3.5 eV/f.u. The total magnetization is 0.0 μB/f.u. Its energy is -1.7063 eV per atom.

Record 4
Density functional theory data (PBE) for a relaxed structure of ScTe2SN.

a = 5.6005 Å, b = 5.6005 Å, c = 3.9964 Å
α = 90.00°, β = 90.00°, γ = 90.00°
Closest atoms and distances in Å follow each position.
Space group P4/mmm (No. 123)
Asymmetric unit:
Sc 0.0000 0.0000 0.0000 (multiplicity 1)  2 N 2.00
Te 0.0000 0.5000 0.0000 (multiplicity 2)  2 Sc 2.80
S 0.5000 0.5000 0.5000 (multiplicity 1)  8 Te 3.44
N 0.0000 0.0000 0.5000 (multiplicity 1)  2 Sc 2.00

Calculated values
For the density of states at the Fermi level, the calculation gives 4.9 states/eV/f.u. The total magnetization is 1.1 μB/f.u. Its energy is -4.5507 eV per atom. The excess energy over the best structure of this formula in the dataset is 82 meV per atom.